A relaxed structure of DyPaTcRu, computed with PBE-GGA.

CIF file:
```
data_DyPaTcRu
_chemical_formula_sum 'Dy1 Pa1 Tc1 Ru1'
_cell_length_a 3.431
_cell_length_b 3.431
_cell_length_c 6.911
_cell_angle_alpha 90.00
_cell_angle_beta 90.00
_cell_angle_gamma 90.00
_space_group_name_H-M_alt 'P 4 m m'
_space_group_IT_number 99
_space_group_name_Hall 'P 4 -2'
loop_
_atom_site_label
_atom_site_fract_x
_atom_site_fract_y
_atom_site_fract_z
Dy1 0.000 0.000 0.000
Pa1 0.000 0.000 0.500
Tc1 0.500 0.500 0.283
Ru1 0.500 0.500 0.720
```

Results
D(E_F)	2.1	states/eV/f.u.
final energy	-8.81	eV per atom
energy above the most stable polymorph in this dataset	0	meV/atom